The following is a PBE-GGA calculation of NaAcS2 after structural relaxation, from Alexandria via LeMat-Bulk.

The structure in POSCAR format:
```
NaAcS2
1.0
2.186 1.262 6.700
-2.186 1.262 6.700
0.000 -2.524 6.700
Na Ac S
1 1 2
direct
0.000 0.000 0.000
0.500 0.500 0.500
0.247 0.247 0.247
0.753 0.753 0.753
```

Values from the calculation:
Uncorrected formation energy: -1815 meV per atom
Magnetic moment: 0.00 μB/f.u.

=====

The following is a PBE-GGA calculation of B after structural relaxation, from Alexandria via LeMat-Bulk.

The structure in POSCAR format:
```
B
1.0
2.906 1.678 4.003
-2.906 1.678 4.003
0.000 -3.355 4.003
B
15
direct
0.000 0.000 0.000
0.134 0.134 0.134
0.171 0.493 0.493
0.199 0.693 0.693
0.307 0.307 0.801
0.307 0.801 0.307
0.493 0.171 0.493
0.493 0.493 0.171
0.507 0.507 0.829
0.507 0.829 0.507
0.693 0.199 0.693
0.693 0.693 0.199
0.801 0.307 0.307
0.829 0.507 0.507
0.866 0.866 0.866
```

Values from the calculation:
Magnetic moment: 0.00 μB/f.u.
Energy above the lowest structure with this stoichiometry: 212.1 meV per atom

=====

The following is a PBE-GGA calculation of Dy3Mg2WS8 after structural relaxation, from Alexandria via LeMat-Bulk.

The structure in POSCAR format:
```
Dy3Mg2WS8
1.0
3.915 2.260 6.208
-3.915 2.260 6.208
0.000 -4.521 6.208
Dy Mg W S
3 2 1 8
direct
0.000 0.500 0.500
0.500 0.000 0.500
0.500 0.500 0.000
0.126 0.126 0.126
0.874 0.874 0.874
0.500 0.500 0.500
0.255 0.255 0.255
0.267 0.267 0.732
0.267 0.732 0.267
0.268 0.733 0.733
0.732 0.267 0.267
0.733 0.268 0.733
0.733 0.733 0.268
0.745 0.745 0.745
```

Values from the calculation:
Uncorrected formation energy: -1491 meV per atom
Magnetic moment: 2.99 μB/f.u.

=====

The following is a PBE-GGA calculation of La2ReIr after structural relaxation, from Alexandria via LeMat-Bulk.

The structure in POSCAR format:
```
La2ReIr
1.0
3.064 0.000 0.000
0.000 3.064 0.000
0.000 0.000 9.908
La Re Ir
2 1 1
direct
0.000 0.000 0.000
0.500 0.500 0.369
0.000 0.000 0.607
0.500 0.500 0.759
```

Values from the calculation:
Magnetic moment: 0.00 μB/f.u.
Energy above the lowest structure with this stoichiometry: 290.6 meV per atom

=====

The following is a PBE-GGA calculation of Sm3NiBr3 after structural relaxation, from Alexandria via LeMat-Bulk.

The structure in POSCAR format:
```
Sm3NiBr3
1.0
-5.897 5.897 5.897
5.897 -5.897 5.897
5.897 5.897 -5.897
Sm Ni Br
12 4 12
direct
0.017 0.034 0.267
0.017 0.483 0.750
0.034 0.267 0.017
0.233 0.267 0.750
0.233 0.466 0.483
0.267 0.017 0.034
0.267 0.750 0.233
0.466 0.483 0.233
0.483 0.233 0.466
0.483 0.750 0.017
0.750 0.017 0.483
0.750 0.233 0.267
0.000 0.250 0.500
0.250 0.250 0.250
0.250 0.500 0.000
0.500 0.000 0.250
0.250 0.757 0.743
0.250 0.993 0.507
0.507 0.250 0.993
0.507 0.757 0.514
0.514 0.507 0.757
0.743 0.250 0.757
0.743 0.993 0.986
0.757 0.514 0.507
0.757 0.743 0.250
0.986 0.743 0.993
0.993 0.507 0.250
0.993 0.986 0.743
```

Values from the calculation:
Uncorrected formation energy: -1228 meV per atom
Magnetic moment: 0.00 μB/f.u.

=====

The following is a PBE-GGA calculation of TaPN2F after structural relaxation, from Alexandria via LeMat-Bulk.

The structure in POSCAR format:
```
TaPN2F
1.0
3.810 0.000 0.000
0.000 3.810 0.000
0.000 0.000 3.546
Ta P N F
1 1 2 1
direct
0.000 0.000 0.000
0.500 0.500 0.500
0.000 0.500 0.500
0.500 0.000 0.500
0.500 0.500 0.000
```

Values from the calculation:
Uncorrected formation energy: 532 meV per atom
Magnetic moment: 1.52 μB/f.u.
Energy above the lowest structure with this stoichiometry: 586.2 meV per atom

=====

The following is a PBE-GGA calculation of Al4Ga2Tc3 after structural relaxation, from Alexandria via LeMat-Bulk.

The structure in POSCAR format:
```
Al4Ga2Tc3
1.0
6.335 -4.445 0.000
6.335 4.445 0.000
-0.842 0.000 4.674
Al Ga Tc
8 4 6
direct
0.068 0.819 0.976
0.153 0.400 0.142
0.181 0.932 0.524
0.400 0.153 0.642
0.600 0.847 0.358
0.819 0.068 0.476
0.847 0.600 0.858
0.932 0.181 0.024
0.261 0.516 0.693
0.484 0.739 0.807
0.516 0.261 0.193
0.739 0.484 0.307
0.039 0.291 0.585
0.291 0.039 0.085
0.378 0.622 0.250
0.622 0.378 0.750
0.709 0.961 0.915
0.961 0.709 0.415
```

Values from the calculation:
Total DFT energy (no corrections): -6.16 eV per atom
Magnetic moment: 0.62 μB/f.u.

=====

The following is a PBE-GGA calculation of YCd2Se after structural relaxation, from Alexandria via LeMat-Bulk.

The structure in POSCAR format:
```
YCd2Se
1.0
0.000 3.628 3.628
3.628 0.000 3.628
3.628 3.628 0.000
Y Cd Se
1 2 1
direct
0.000 0.000 0.000
0.250 0.250 0.250
0.500 0.500 0.500
0.750 0.750 0.750
```

Values from the calculation:
Uncorrected formation energy: -428 meV per atom
Magnetic moment: 0.00 μB/f.u.

=====

The following is a PBE-GGA calculation of LaMg2Ni2 after structural relaxation, from Alexandria via LeMat-Bulk.

The structure in POSCAR format:
```
LaMg2Ni2
1.0
7.529 0.000 0.000
0.000 7.529 0.000
0.000 0.000 3.334
La Mg Ni
2 4 4
direct
0.000 0.000 0.000
0.500 0.500 0.000
0.137 0.363 0.500
0.363 0.863 0.500
0.637 0.137 0.500
0.863 0.637 0.500
0.151 0.651 0.000
0.349 0.151 0.000
0.651 0.849 0.000
0.849 0.349 0.000
```

Values from the calculation:
Magnetic moment: 0.00 μB/f.u.
Energy above the lowest structure with this stoichiometry: 174.2 meV per atom

=====

The following is a PBE-GGA calculation of Sr2PuSnS5 after structural relaxation, from Alexandria via LeMat-Bulk.

The structure in POSCAR format:
```
Sr2PuSnS5
1.0
2.098 -8.665 0.000
2.098 8.665 0.000
0.000 0.000 12.649
Sr Pu Sn S
4 2 2 10
direct
0.110 0.890 0.500
0.138 0.862 0.118
0.862 0.138 0.618
0.890 0.110 0.000
0.213 0.787 0.830
0.787 0.213 0.330
0.471 0.529 0.272
0.529 0.471 0.772
0.056 0.944 0.884
0.282 0.718 0.474
0.317 0.683 0.189
0.371 0.629 0.813
0.492 0.508 0.579
0.508 0.492 0.079
0.629 0.371 0.313
0.683 0.317 0.689
0.718 0.282 0.974
0.944 0.056 0.384
```

Values from the calculation:
Uncorrected formation energy: -1450 meV per atom
Magnetic moment: 5.06 μB/f.u.

=====

The following is a PBE-GGA calculation of BePPb after structural relaxation, from Alexandria via LeMat-Bulk.

The structure in POSCAR format:
```
BePPb
1.0
5.027 -3.614 0.000
5.027 3.614 0.000
0.000 0.000 7.226
Be P Pb
4 4 4
direct
0.143 0.857 0.854
0.357 0.643 0.354
0.643 0.357 0.646
0.857 0.143 0.146
0.152 0.848 0.150
0.348 0.652 0.650
0.652 0.348 0.350
0.848 0.152 0.850
0.249 0.249 0.500
0.251 0.251 0.000
0.749 0.749 0.000
0.751 0.751 0.500
```

Values from the calculation:
Magnetic moment: 0.00 μB/f.u.
Energy above the lowest structure with this stoichiometry: 96.0 meV per atom

=====

The following is a PBE-GGA calculation of Ho3Er6Tm2Zr after structural relaxation, from Alexandria via LeMat-Bulk.

The structure in POSCAR format:
```
Ho3Er6Tm2Zr
1.0
3.014 -5.211 0.000
3.014 5.211 0.000
-1.994 0.000 11.337
Ho Er Tm Zr
3 6 2 1
direct
0.000 0.000 0.000
0.333 0.667 0.000
0.667 0.333 0.000
0.092 0.419 0.256
0.254 0.254 0.744
0.419 0.092 0.256
0.581 0.908 0.744
0.746 0.746 0.256
0.908 0.581 0.744
0.167 0.833 0.500
0.833 0.167 0.500
0.500 0.500 0.500
```

Values from the calculation:
Total DFT energy (no corrections): -4.84 eV per atom
Magnetic moment: 0.00 μB/f.u.